(1)
A PBEsol-optimized structure of Fe3WO, computed with meta-GGA SCAN.

CIF file:
```
data_Fe3WO
_cell_length_a 4.415
_cell_length_b 4.415
_cell_length_c 4.415
_cell_angle_alpha 90.00
_cell_angle_beta 90.00
_cell_angle_gamma 90.00
_symmetry_space_group_name_H-M 'P 1'
_symmetry_Int_Tables_number 1
loop_
_symmetry_equiv_pos_as_xyz
'x,y,z'
loop_
_atom_site_label
_atom_site_type_symbol
_atom_site_fract_x
_atom_site_fract_y
_atom_site_fract_z
Fe1 Fe 0.000 0.000 0.500
Fe2 Fe 0.000 0.500 0.000
Fe3 Fe 0.500 0.000 0.000
W1 W 0.000 0.000 0.000
O1 O 0.500 0.500 0.500
```

Results
Uncorrected formation energy   2.091 eV per atom


(2)
A PBEsol-optimized structure of FeWO2, computed with meta-GGA SCAN.

CIF file:
```
data_FeWO2
_cell_length_a 6.768
_cell_length_b 6.768
_cell_length_c 6.768
_cell_angle_alpha 23.33
_cell_angle_beta 23.33
_cell_angle_gamma 23.33
_symmetry_space_group_name_H-M 'P 1'
_symmetry_Int_Tables_number 1
loop_
_symmetry_equiv_pos_as_xyz
'x,y,z'
loop_
_atom_site_label
_atom_site_type_symbol
_atom_site_fract_x
_atom_site_fract_y
_atom_site_fract_z
Fe1 Fe 0.000 0.000 0.000
W1 W 0.500 0.500 0.500
O1 O 0.096 0.096 0.096
O2 O 0.904 0.904 0.904
```

Results
Uncorrected formation energy   -1.153 eV per atom


(3)
A PBEsol-optimized structure of FeWO3, computed with meta-GGA SCAN.

CIF file:
```
data_FeWO3
_cell_length_a 3.654
_cell_length_b 3.654
_cell_length_c 3.654
_cell_angle_alpha 90.00
_cell_angle_beta 90.00
_cell_angle_gamma 90.00
_symmetry_space_group_name_H-M 'P 1'
_symmetry_Int_Tables_number 1
loop_
_symmetry_equiv_pos_as_xyz
'x,y,z'
loop_
_atom_site_label
_atom_site_type_symbol
_atom_site_fract_x
_atom_site_fract_y
_atom_site_fract_z
Fe1 Fe 0.000 0.000 0.000
W1 W 0.500 0.500 0.500
O1 O 0.000 0.000 0.500
O2 O 0.000 0.500 0.000
O3 O 0.500 0.000 0.000
```

Results
Uncorrected formation energy   -0.291 eV per atom


(4)
A PBEsol-optimized structure of Y2Fe2O7, computed with meta-GGA SCAN.

CIF file:
```
data_Y2Fe2O7
_cell_length_a 6.917
_cell_length_b 6.917
_cell_length_c 6.917
_cell_angle_alpha 60.00
_cell_angle_beta 60.00
_cell_angle_gamma 60.00
_symmetry_space_group_name_H-M 'P 1'
_symmetry_Int_Tables_number 1
loop_
_symmetry_equiv_pos_as_xyz
'x,y,z'
loop_
_atom_site_label
_atom_site_type_symbol
_atom_site_fract_x
_atom_site_fract_y
_atom_site_fract_z
Y1 Y 0.000 0.000 0.000
Y2 Y 0.000 0.000 0.500
Y3 Y 0.000 0.500 0.000
Y4 Y 0.500 0.000 0.000
Fe1 Fe 0.000 0.500 0.500
Fe2 Fe 0.500 0.000 0.500
Fe3 Fe 0.500 0.500 0.000
Fe4 Fe 0.500 0.500 0.500
O1 O 0.125 0.125 0.125
O2 O 0.173 0.173 0.577
O3 O 0.173 0.577 0.173
O4 O 0.173 0.577 0.577
O5 O 0.423 0.423 0.827
O6 O 0.423 0.827 0.423
O7 O 0.423 0.827 0.827
O8 O 0.577 0.173 0.173
O9 O 0.577 0.173 0.577
O10 O 0.577 0.577 0.173
O11 O 0.827 0.423 0.423
O12 O 0.827 0.423 0.827
O13 O 0.827 0.827 0.423
O14 O 0.875 0.875 0.875
```

Results
Uncorrected formation energy   -2.655 eV per atom